# YZrN PBE optimized geometry
data_YZrN
_chemical_formula_sum 'Y1 Zr1 N1'
_symmetry_space_group_name_H-M 'P 3 m 1'
_symmetry_Int_Tables_number 156
_cell_length_a 3.3899
_cell_length_b 3.3899
_cell_length_c 5.6351
_cell_angle_alpha 90.00
_cell_angle_beta 90.00
_cell_angle_gamma 120.00
loop_
_symmetry_equiv_pos_as_xyz
'x,y,z'
'-y,x-y,z'
'-x+y,-x,z'
'-y,-x,z'
'-x+y,y,z'
'x,x-y,z'
loop_
_atom_site_label
_atom_site_type_symbol
_atom_site_fract_x
_atom_site_fract_y
_atom_site_fract_z
_atom_site_occupancy
Y1 Y 0.0000 0.0000 0.0000 1
Zr1 Zr 0.3333 0.6667 0.5398 1
N1 N 0.6667 0.3333 0.7487 1
# E ... -8.837 eV per atom
# Total magnetic moment ... 0.057 μB/atom
# Energy above the most stable polymorph in this dataset ... 0.00 kcal/mol of atoms
# Formation energy from raw total energies ... -102 kJ/mol of atoms

# SmTm2Pt9 PBE optimized geometry
data_SmTm2Pt9
_chemical_formula_sum 'Sm1 Tm2 Pt9'
_symmetry_space_group_name_H-M 'P 4/m m m'
_symmetry_Int_Tables_number 123
_symmetry_space_group_name_Hall '-P 4 2'
_cell_length_a 4.118
_cell_length_b 4.118
_cell_length_c 12.350
_cell_angle_alpha 90.00
_cell_angle_beta 90.00
_cell_angle_gamma 90.00
loop_
_atom_site_label
_atom_site_type_symbol
_atom_site_fract_x
_atom_site_fract_y
_atom_site_fract_z
_atom_site_occupancy
Sm1 Sm 0.000 0.000 0.000 1
Tm1 Tm 0.000 0.000 0.335 1
Pt1 Pt 0.000 0.500 0.172 1
Pt2 Pt 0.000 0.500 0.500 1
Pt3 Pt 0.500 0.500 0.000 1
Pt4 Pt 0.500 0.500 0.336 1
# E ... -6.703 eV per atom
# Total magnetic moment ... 0.000 μB/atom

# NbVMo3 PBE optimized geometry
data_NbVMo3
_chemical_formula_sum 'Nb4 V4 Mo12'
_symmetry_space_group_name_H-M 'C 1 2/m 1'
_symmetry_Int_Tables_number 12
_cell_length_a 9.442
_cell_length_b 4.473
_cell_length_c 7.790
_cell_angle_alpha 90.00
_cell_angle_beta 105.98
_cell_angle_gamma 90.00
loop_
_symmetry_equiv_pos_as_xyz
'x,y,z'
'-x,-y,-z'
'-x,y,-z'
'x,-y,z'
'x+1/2,y+1/2,z'
'-x+1/2,-y+1/2,-z'
'-x+1/2,y+1/2,-z'
'x+1/2,-y+1/2,z'
loop_
_atom_site_label
_atom_site_type_symbol
_atom_site_fract_x
_atom_site_fract_y
_atom_site_fract_z
_atom_site_occupancy
Nb1 Nb 0.051 0.000 0.346 1
V1 V 0.051 0.500 0.855 1
Mo1 Mo 0.148 0.500 0.552 1
Mo2 Mo 0.149 0.000 0.047 1
Mo3 Mo 0.248 0.500 0.245 1
# E ... -10.434 eV per atom
# Total magnetic moment ... 0.000 μB/atom
# Energy above the most stable polymorph in this dataset ... 0.26 kcal/mol of atoms

# AuSe3 PBE optimized geometry
data_AuSe3
_chemical_formula_sum 'Au1 Se3'
_symmetry_space_group_name_H-M 'P 4/m m m'
_symmetry_Int_Tables_number 123
_symmetry_space_group_name_Hall '-P 4 2'
_cell_length_a 2.658
_cell_length_b 2.658
_cell_length_c 15.662
_cell_angle_alpha 90.00
_cell_angle_beta 90.00
_cell_angle_gamma 90.00
loop_
_atom_site_label
_atom_site_type_symbol
_atom_site_fract_x
_atom_site_fract_y
_atom_site_fract_z
_atom_site_occupancy
Au1 Au 0.000 0.000 0.000 1
Se1 Se 0.000 0.000 0.500 1
Se2 Se 0.500 0.500 0.232 1
# E ... -3.112 eV per atom
# Total magnetic moment ... 0.000 μB/atom
# Formation energy from raw total energies ... 31 kJ/mol of atoms

| no. | D(E_F) (states/eV per cell) |
| --- | --- |
| 1 | 2.1 |
| 2 | 11.5 |
| 3 | 12.1 |
| 4 | 3.7 |